Below is crystalline AcNd6Hg2 at its relaxed geometry, with properties calculated at the PBE level.

Cell lengths 10.601, 10.601, 5.779 Å; angles 94.99, 94.99, 66.49 degrees
Sites, in units of the cell vectors:
Ac  0.186  0.814  0.750
Ac  0.814  0.186  0.250
Nd  0.004  0.216  0.790
Nd  0.125  0.349  0.335
Nd  0.216  0.004  0.290
Nd  0.330  0.518  0.399
Nd  0.349  0.125  0.835
Nd  0.482  0.670  0.101
Nd  0.518  0.330  0.899
Nd  0.651  0.875  0.165
Nd  0.670  0.482  0.601
Nd  0.784  0.996  0.710
Nd  0.875  0.651  0.665
Nd  0.996  0.784  0.210
Hg  0.185  0.476  0.878
Hg  0.476  0.185  0.378
Hg  0.524  0.815  0.622
Hg  0.815  0.524  0.122

Output
Distance to the lowest polymorph of the same formula ... 95 meV/atom
DFT formation energy ... -0.11 eV/atom
Raw total energy ... -3.809 eV per atom
Crystal system ... monoclinic